Here is a geometry-optimized LaHf3Ta structure from the Alexandria database. Energies are from PBE-GGA.

```
5
Lattice="5.204 0.000 0.000 0.000 5.204 0.000 0.000 0.000 5.204" Properties=species:S:1:pos:R:3 pbc="T T T"
La 0.000 0.000 0.000
Hf 0.000 2.602 2.602
Hf 2.602 0.000 2.602
Hf 2.602 2.602 0.000
Ta 2.602 2.602 2.602
```

The density of states at the Fermi level is 10.2 states/eV/cell. The energy relative to the elements is 0.721 eV/atom. For the magnetization, the calculation gives 0.00 μB/f.u. Its polymorph energy (0 for the lowest one) is 0.0000 eV/atom.